DFT (PBE) results for Zn5Hg12As3 after structural relaxation.

POSCAR file:
```
Zn5Hg12As3
1.0
14.078 0.000 0.000
-4.693 13.273 0.000
-4.693 -6.637 11.495
As Zn Hg
12 20 48
Direct
0.625 0.250 0.375 As
0.875 0.750 0.125 As
0.875 0.125 0.250 As
0.375 0.750 0.625 As
0.750 0.375 0.125 As
0.750 0.875 0.625 As
0.125 0.250 0.875 As
0.375 0.625 0.250 As
0.625 0.375 0.750 As
0.250 0.125 0.375 As
0.125 0.875 0.750 As
0.250 0.625 0.875 As
0.875 0.250 0.625 Zn
0.000 0.000 0.000 Zn
0.500 0.500 0.500 Zn
0.500 0.000 0.500 Zn
0.875 0.625 0.750 Zn
0.750 0.625 0.375 Zn
0.500 0.500 0.000 Zn
0.125 0.750 0.375 Zn
0.625 0.875 0.250 Zn
0.250 0.875 0.125 Zn
0.250 0.375 0.625 Zn
0.375 0.250 0.125 Zn
0.625 0.750 0.875 Zn
0.125 0.375 0.250 Zn
0.000 0.500 0.000 Zn
0.375 0.125 0.750 Zn
0.000 0.500 0.500 Zn
0.750 0.125 0.875 Zn
0.000 0.000 0.500 Zn
0.500 0.000 0.000 Zn
0.326 0.772 0.396 Hg
0.896 0.070 0.624 Hg
0.826 0.930 0.053 Hg
0.272 0.876 0.947 Hg
0.447 0.772 0.876 Hg
0.104 0.930 0.376 Hg
0.624 0.053 0.228 Hg
0.553 0.326 0.930 Hg
0.947 0.376 0.272 Hg
0.876 0.272 0.447 Hg
0.430 0.376 0.604 Hg
0.930 0.826 0.553 Hg
0.447 0.674 0.070 Hg
0.272 0.396 0.826 Hg
0.570 0.947 0.674 Hg
0.396 0.124 0.570 Hg
0.124 0.396 0.070 Hg
0.570 0.624 0.396 Hg
0.070 0.896 0.124 Hg
0.728 0.604 0.174 Hg
0.104 0.174 0.228 Hg
0.430 0.053 0.326 Hg
0.376 0.947 0.772 Hg
0.174 0.070 0.947 Hg
0.930 0.104 0.876 Hg
0.772 0.326 0.896 Hg
0.876 0.604 0.930 Hg
0.228 0.674 0.104 Hg
0.674 0.228 0.604 Hg
0.053 0.624 0.728 Hg
0.070 0.174 0.447 Hg
0.604 0.876 0.430 Hg
0.896 0.826 0.772 Hg
0.228 0.553 0.624 Hg
0.826 0.896 0.272 Hg
0.624 0.570 0.896 Hg
0.947 0.570 0.174 Hg
0.674 0.447 0.570 Hg
0.326 0.553 0.430 Hg
0.604 0.728 0.674 Hg
0.728 0.124 0.053 Hg
0.053 0.430 0.826 Hg
0.124 0.728 0.553 Hg
0.396 0.272 0.326 Hg
0.376 0.430 0.104 Hg
0.174 0.104 0.728 Hg
0.772 0.447 0.376 Hg
0.553 0.228 0.124 Hg
```

Properties
- VASP energy (eV per atom) = -1.01
- E_form (eV/atom) = 0.190
- magnetic moment (μB/f.u.) = 0.00